First-principles (PBE) data for an optimized crystal structure of Sr2PrTc, as listed in OQMD via LeMat-Bulk.

CIF file:
```
data_Sr2PrTc
_chemical_formula_sum 'Sr2 Pr1 Tc1'
_cell_length_a 4.5708
_cell_length_b 4.5708
_cell_length_c 8.4788
_cell_angle_alpha 90.00
_cell_angle_beta 90.00
_cell_angle_gamma 120.00
_symmetry_space_group_name_H-M 'P 3 m 1'
_symmetry_Int_Tables_number 156
loop_
_symmetry_equiv_pos_as_xyz
'x,y,z'
'-y,x-y,z'
'-x+y,-x,z'
'-y,-x,z'
'-x+y,y,z'
'x,x-y,z'
loop_
_atom_site_label
_atom_site_type_symbol
_atom_site_fract_x
_atom_site_fract_y
_atom_site_fract_z
Sr1 Sr 0.0000 0.0000 0.0000
Sr2 Sr 0.3333 0.6667 0.6179
Pr1 Pr 0.6667 0.3333 0.3107
Tc1 Tc 0.0000 0.0000 0.4069
```

Properties
As for the crystal system: trigonal.


First-principles (PBE) data for an optimized crystal structure of RbTmTlSe3, as listed in OQMD via LeMat-Bulk.

CIF file:
```
data_RbTmTlSe3
_chemical_formula_sum 'Rb4 Tm4 Tl4 Se12'
_cell_length_a 4.2237
_cell_length_b 16.0489
_cell_length_c 11.5786
_cell_angle_alpha 90.00
_cell_angle_beta 90.00
_cell_angle_gamma 90.00
_symmetry_space_group_name_H-M 'C m c m'
_symmetry_Int_Tables_number 63
_symmetry_space_group_name_Hall '-C 2c 2'
loop_
_atom_site_label
_atom_site_type_symbol
_atom_site_fract_x
_atom_site_fract_y
_atom_site_fract_z
Rb1 Rb 0.0000 0.2206 0.2500
Tm1 Tm 0.0000 0.5000 0.0000
Tl1 Tl 0.0000 0.0813 0.7500
Se1 Se 0.0000 0.1202 0.5106
Se2 Se 0.0000 0.4623 0.7500
```

Properties
As for the crystal system: orthorhombic.


First-principles (PBE) data for an optimized crystal structure of BaZnAsF, as listed in OQMD via LeMat-Bulk.

CIF file:
```
data_BaZnAsF
_chemical_formula_sum 'Ba2 Zn2 As2 F2'
_cell_length_a 4.2478
_cell_length_b 4.2478
_cell_length_c 9.4852
_cell_angle_alpha 90.00
_cell_angle_beta 90.00
_cell_angle_gamma 90.00
_symmetry_space_group_name_H-M 'P 4/n m m'
_symmetry_Int_Tables_number 129
loop_
_symmetry_equiv_pos_as_xyz
'x,y,z'
'-x,-y,-z'
'-y+1/2,x,z'
'y+1/2,-x,-z'
'-x+1/2,-y+1/2,z'
'x+1/2,y+1/2,-z'
'y,-x+1/2,z'
'-y,x+1/2,-z'
'x+1/2,-y,-z'
'-x+1/2,y,z'
'-y,-x,-z'
'y,x,z'
'-x,y+1/2,-z'
'x,-y+1/2,z'
'y+1/2,x+1/2,-z'
'-y+1/2,-x+1/2,z'
loop_
_atom_site_label
_atom_site_type_symbol
_atom_site_fract_x
_atom_site_fract_y
_atom_site_fract_z
Ba1 Ba 0.2500 0.2500 0.1655
Zn1 Zn 0.2500 0.7500 0.5000
As1 As 0.2500 0.2500 0.6574
F1 F 0.2500 0.7500 0.0000
```

Properties
As for the crystal system: tetragonal.


First-principles (PBE) data for an optimized crystal structure of PmMgHg, as listed in OQMD via LeMat-Bulk.

CIF file:
```
data_PmMgHg
_chemical_formula_sum 'Pm4 Mg4 Hg4'
_cell_length_a 7.0386
_cell_length_b 7.0386
_cell_length_c 7.0386
_cell_angle_alpha 90.00
_cell_angle_beta 90.00
_cell_angle_gamma 90.00
_symmetry_space_group_name_H-M 'F -4 3 m'
_symmetry_Int_Tables_number 216
_symmetry_space_group_name_Hall 'F -4 2 3'
loop_
_atom_site_label
_atom_site_type_symbol
_atom_site_fract_x
_atom_site_fract_y
_atom_site_fract_z
Pm1 Pm 0.0000 0.0000 0.0000
Mg1 Mg 0.0000 0.0000 0.5000
Hg1 Hg 0.2500 0.2500 0.7500
```

Properties
As for the crystal system: cubic.


First-principles (PBE) data for an optimized crystal structure of TbSnPO, as listed in OQMD via LeMat-Bulk.

CIF file:
```
data_TbSnPO
_chemical_formula_sum 'Tb2 Sn2 P2 O2'
_cell_length_a 5.4673
_cell_length_b 5.4673
_cell_length_c 5.1455
_cell_angle_alpha 90.00
_cell_angle_beta 90.00
_cell_angle_gamma 90.00
_symmetry_space_group_name_H-M 'P 4/n m m'
_symmetry_Int_Tables_number 129
loop_
_symmetry_equiv_pos_as_xyz
'x,y,z'
'-x,-y,-z'
'-y+1/2,x,z'
'y+1/2,-x,-z'
'-x+1/2,-y+1/2,z'
'x+1/2,y+1/2,-z'
'y,-x+1/2,z'
'-y,x+1/2,-z'
'x+1/2,-y,-z'
'-x+1/2,y,z'
'-y,-x,-z'
'y,x,z'
'-x,y+1/2,-z'
'x,-y+1/2,z'
'y+1/2,x+1/2,-z'
'-y+1/2,-x+1/2,z'
loop_
_atom_site_label
_atom_site_type_symbol
_atom_site_fract_x
_atom_site_fract_y
_atom_site_fract_z
Tb1 Tb 0.2500 0.7500 0.0000
Sn1 Sn 0.2500 0.2500 0.4933
P1 P 0.2500 0.2500 0.9915
O1 O 0.2500 0.7500 0.5000
```

Properties
As for the crystal system: tetragonal.


First-principles (PBE) data for an optimized crystal structure of ScCuSnTe2Se, as listed in OQMD via LeMat-Bulk.

CIF file:
```
data_ScCuSnTe2Se
_chemical_formula_sum 'Sc4 Cu4 Sn4 Te8 Se4'
_cell_length_a 4.1015
_cell_length_b 14.3050
_cell_length_c 10.1723
_cell_angle_alpha 90.00
_cell_angle_beta 90.00
_cell_angle_gamma 90.00
_symmetry_space_group_name_H-M 'C m c m'
_symmetry_Int_Tables_number 63
_symmetry_space_group_name_Hall '-C 2c 2'
loop_
_atom_site_label
_atom_site_type_symbol
_atom_site_fract_x
_atom_site_fract_y
_atom_site_fract_z
Sc1 Sc 0.0000 0.0000 0.0000
Cu1 Cu 0.0000 0.4768 0.2500
Sn1 Sn 0.0000 0.2571 0.7500
Te1 Te 0.0000 0.3558 0.0559
Se1 Se 0.0000 0.0737 0.2500
```

Properties
As for the crystal system: orthorhombic.


First-principles (PBE) data for an optimized crystal structure of GaAuSeO, as listed in OQMD via LeMat-Bulk.

CIF file:
```
data_GaAuSeO
_chemical_formula_sum 'Ga2 Au2 Se2 O2'
_cell_length_a 3.8276
_cell_length_b 7.3104
_cell_length_c 5.6070
_cell_angle_alpha 90.00
_cell_angle_beta 90.00
_cell_angle_gamma 90.00
_symmetry_space_group_name_H-M 'P m c 21'
_symmetry_Int_Tables_number 26
loop_
_symmetry_equiv_pos_as_xyz
'x,y,z'
'-x,-y,z+1/2'
'-x,y,z'
'x,-y,z+1/2'
loop_
_atom_site_label
_atom_site_type_symbol
_atom_site_fract_x
_atom_site_fract_y
_atom_site_fract_z
Ga1 Ga 0.0000 0.1224 0.0000
Au1 Au 0.5000 0.3104 0.5441
Se1 Se 0.5000 0.3226 0.0855
O1 O 0.0000 0.0909 0.6722
```

Properties
As for the crystal system: orthorhombic.


First-principles (PBE) data for an optimized crystal structure of Li2PmAu2, as listed in OQMD via LeMat-Bulk.

CIF file:
```
data_Li2PmAu2
_chemical_formula_sum 'Li4 Pm2 Au4'
_cell_length_a 3.9220
_cell_length_b 3.9220
_cell_length_c 13.2233
_cell_angle_alpha 90.00
_cell_angle_beta 90.00
_cell_angle_gamma 90.00
_symmetry_space_group_name_H-M 'I 4/m m m'
_symmetry_Int_Tables_number 139
_symmetry_space_group_name_Hall '-I 4 2'
loop_
_atom_site_label
_atom_site_type_symbol
_atom_site_fract_x
_atom_site_fract_y
_atom_site_fract_z
Li1 Li 0.0000 0.5000 0.2500
Pm1 Pm 0.0000 0.0000 0.0000
Au1 Au 0.0000 0.0000 0.3902
```

Properties
As for the crystal system: tetragonal.


First-principles (PBE) data for an optimized crystal structure of Cs2ErTmO4, as listed in OQMD via LeMat-Bulk.

CIF file:
```
data_Cs2ErTmO4
_chemical_formula_sum 'Cs2 Er1 Tm1 O4'
_cell_length_a 3.4892
_cell_length_b 3.4892
_cell_length_c 13.5323
_cell_angle_alpha 90.00
_cell_angle_beta 90.00
_cell_angle_gamma 120.00
_symmetry_space_group_name_H-M 'P -3 m 1'
_symmetry_Int_Tables_number 164
_symmetry_space_group_name_Hall '-P 3 2"'
loop_
_atom_site_label
_atom_site_type_symbol
_atom_site_fract_x
_atom_site_fract_y
_atom_site_fract_z
Cs1 Cs 0.3333 0.6667 0.2502
Er1 Er 0.0000 0.0000 0.0000
Tm1 Tm 0.0000 0.0000 0.5000
O1 O 0.3333 0.6667 0.5814
O2 O 0.3333 0.6667 0.9173
```

Properties
As for the crystal system: trigonal.


First-principles (PBE) data for an optimized crystal structure of La3Cu2Si4Ni2, as listed in OQMD via LeMat-Bulk.

CIF file:
```
data_La3Cu2Si4Ni2
_chemical_formula_sum 'La6 Cu4 Si8 Ni4'
_cell_length_a 4.1628
_cell_length_b 4.2066
_cell_length_c 23.7227
_cell_angle_alpha 90.00
_cell_angle_beta 90.00
_cell_angle_gamma 90.00
_symmetry_space_group_name_H-M 'I m m m'
_symmetry_Int_Tables_number 71
_symmetry_space_group_name_Hall '-I 2 2'
loop_
_atom_site_label
_atom_site_type_symbol
_atom_site_fract_x
_atom_site_fract_y
_atom_site_fract_z
La1 La 0.0000 0.0000 0.0000
La2 La 0.0000 0.5000 0.3477
Cu1 Cu 0.0000 0.5000 0.0991
Si1 Si 0.0000 0.0000 0.4491
Si2 Si 0.0000 0.5000 0.2023
Ni1 Ni 0.0000 0.0000 0.2488
```

Properties
As for the crystal system: orthorhombic.


First-principles (PBE) data for an optimized crystal structure of BaYZnAu, as listed in OQMD via LeMat-Bulk.

CIF file:
```
data_BaYZnAu
_chemical_formula_sum 'Ba4 Y4 Zn4 Au4'
_cell_length_a 7.3215
_cell_length_b 7.3215
_cell_length_c 7.3215
_cell_angle_alpha 90.00
_cell_angle_beta 90.00
_cell_angle_gamma 90.00
_symmetry_space_group_name_H-M 'F -4 3 m'
_symmetry_Int_Tables_number 216
_symmetry_space_group_name_Hall 'F -4 2 3'
loop_
_atom_site_label
_atom_site_type_symbol
_atom_site_fract_x
_atom_site_fract_y
_atom_site_fract_z
Ba1 Ba 0.0000 0.0000 0.0000
Y1 Y 0.2500 0.2500 0.7500
Zn1 Zn 0.2500 0.2500 0.2500
Au1 Au 0.0000 0.0000 0.5000
```

Properties
As for the crystal system: cubic.


First-principles (PBE) data for an optimized crystal structure of DyAsNO, as listed in OQMD via LeMat-Bulk.

CIF file:
```
data_DyAsNO
_chemical_formula_sum 'Dy2 As2 N2 O2'
_cell_length_a 4.8628
_cell_length_b 4.8628
_cell_length_c 4.6960
_cell_angle_alpha 90.00
_cell_angle_beta 90.00
_cell_angle_gamma 90.00
_symmetry_space_group_name_H-M 'P 4/n m m'
_symmetry_Int_Tables_number 129
loop_
_symmetry_equiv_pos_as_xyz
'x,y,z'
'-x,-y,-z'
'-y+1/2,x,z'
'y+1/2,-x,-z'
'-x+1/2,-y+1/2,z'
'x+1/2,y+1/2,-z'
'y,-x+1/2,z'
'-y,x+1/2,-z'
'x+1/2,-y,-z'
'-x+1/2,y,z'
'-y,-x,-z'
'y,x,z'
'-x,y+1/2,-z'
'x,-y+1/2,z'
'y+1/2,x+1/2,-z'
'-y+1/2,-x+1/2,z'
loop_
_atom_site_label
_atom_site_type_symbol
_atom_site_fract_x
_atom_site_fract_y
_atom_site_fract_z
Dy1 Dy 0.2500 0.7500 0.0000
As1 As 0.2500 0.2500 0.4764
N1 N 0.2500 0.2500 0.0807
O1 O 0.2500 0.7500 0.5000
```

Properties
As for the crystal system: tetragonal.


Number 1: VASP energy -4.12 eV per atom. Number 2: VASP energy -4.13 eV per atom. Number 3: VASP energy -4.31 eV per atom. Number 4: VASP energy -2.43 eV per atom. Number 5: VASP energy -5.90 eV per atom. Number 6: VASP energy -4.65 eV per atom. Number 7: VASP energy -4.28 eV per atom. Number 8: VASP energy -3.64 eV per atom. Number 9: VASP energy -6.47 eV per atom. Number 10: VASP energy -5.70 eV per atom. Number 11: VASP energy -3.37 eV per atom. Number 12: VASP energy -6.74 eV per atom.